# 1
Na2Ce2I2Cl5: optimized geometry, PBE.

Computed properties:
- Raw formation energy: -1.697 eV per atom

Unit cell a=5.593 b=5.593 c=14.532 alpha=101.09 beta=101.09 gamma=90.00
Site moments in Bohr magnetons follow the coordinates.
Sites, in units of the cell vectors:
1 Na 0.324 0.324 0.648  0.00
2 Na 0.676 0.676 0.352  0.00
3 Ce 0.100 0.100 0.200  1.34
4 Ce 0.900 0.900 0.800  1.34
5 I 0.214 0.214 0.427  -0.01
6 I 0.786 0.786 0.573  -0.01
7 Cl 0.000 0.000 0.000  -0.01
8 Cl 0.612 0.112 0.224  -0.01
9 Cl 0.888 0.388 0.776  -0.01
10 Cl 0.112 0.612 0.224  -0.01
11 Cl 0.388 0.888 0.776  -0.01

# 2
Pm4Nd6Er: optimized geometry, PBE.

Computed properties:
- Calculated formation energy: 0.28 eV per atom

Unit cell a=9.919 b=9.919 c=9.919 alpha=57.12 beta=140.48 gamma=140.48
Sites, in units of the cell vectors:
1 Pm 0.000 0.635 0.012
2 Pm 0.377 0.365 0.365
3 Pm 0.000 0.012 0.635
4 Pm 0.623 0.988 0.988
5 Nd 0.000 0.806 0.451
6 Nd 0.000 0.451 0.806
7 Nd 0.355 0.549 0.549
8 Nd 0.500 0.500 0.000
9 Nd 0.645 0.194 0.194
10 Nd 0.500 0.000 0.500
11 Er 0.000 0.000 0.000

# 3
NaLiSi2Sb: optimized geometry, PBE.

Computed properties:
- Raw formation energy: 0.458 eV per atom

Unit cell a=4.642 b=5.030 c=4.642 alpha=90.00 beta=90.00 gamma=90.00
Sites, in units of the cell vectors:
1 Sb 0.000 0.500 0.000
2 Si 0.000 0.000 0.500
3 Si 0.500 0.000 0.000
4 Li 0.000 0.000 0.000
5 Na 0.500 0.500 0.500

# 4
Ba2ZnHIr: optimized geometry, PBE.

Computed properties:
- Electronic total energy: -3.597 eV per atom

Unit cell a=5.678 b=5.678 c=3.791 alpha=90.00 beta=90.00 gamma=90.00
Sites, in units of the cell vectors:
1 H 0.000 0.000 0.000
2 Zn 0.500 0.500 0.500
3 Ir 0.000 0.000 0.500
4 Ba 0.000 0.500 0.000
5 Ba 0.500 0.000 0.000

# 5
SmGa4CoPt2: optimized geometry, PBE.

Computed properties:
- Calculated formation energy: -0.62 eV per atom

Unit cell a=4.249 b=4.249 c=9.018 alpha=76.38 beta=76.38 gamma=60.00
Site moments in Bohr magnetons follow the coordinates.
Sites, in units of the cell vectors:
1 Sm 0.000 0.000 0.000  -0.01
2 Ga 0.401 0.401 0.797  0.00
3 Ga 0.865 0.865 0.404  -0.01
4 Ga 0.135 0.135 0.596  -0.01
5 Ga 0.599 0.599 0.203  0.00
6 Co 0.500 0.500 0.500  0.35
7 Pt 0.764 0.764 0.707  0.02
8 Pt 0.236 0.236 0.293  0.02